Compound: SbPtN2O
Source: Alexandria
Functional: PBE-GGA
Structure: relaxed

Cell lengths 3.9571, 3.9571, 4.1069 Å; angles 90.00, 90.00, 90.00 degrees
Closest atoms and distances in Å follow each position.
Positions (direct):
Sb  0.0000  0.0000  0.0000  4 O 2.80, 8 N 2.85
Pt  0.5000  0.5000  0.5000  4 N 1.98, 2 O 2.05
N  0.0000  0.5000  0.5000  2 Pt 1.98
N  0.5000  0.0000  0.5000  2 Pt 1.98
O  0.5000  0.5000  0.0000  2 Pt 2.05

Results
Density ... 9.32 g/cm³
ΔE_f (raw) ... 0.973 eV/atom
Space group ... P4/mmm

---

Compound: SbPtNO2
Source: Alexandria
Functional: PBE-GGA
Structure: relaxed

Cell lengths 3.8743, 3.8743, 4.2445 Å; angles 90.00, 90.00, 90.00 degrees
Closest atoms and distances in Å follow each position.
Positions (direct):
Sb  0.0000  0.0000  0.0000  4 O 1.94, 2 N 2.12
Pt  0.5000  0.5000  0.5000  4 N 2.74, 8 O 2.87
N  0.0000  0.0000  0.5000  2 Sb 2.12
O  0.0000  0.5000  0.0000  2 Sb 1.94
O  0.5000  0.0000  0.0000  2 Sb 1.94

Results
Density ... 9.46 g/cm³
ΔE_f (raw) ... 0.508 eV/atom
Space group ... P4/mmm

---

Compound: ScPtN2O
Source: Alexandria
Functional: PBE-GGA
Structure: relaxed

Cell lengths 4.1770, 4.1770, 3.8988 Å; angles 90.00, 90.00, 90.00 degrees
Closest atoms and distances in Å follow each position.
Positions (direct):
Sc  0.0000  0.0000  0.0000  2 O 1.95, 4 N 2.09
Pt  0.5000  0.5000  0.5000  8 N 2.86, 4 O 2.95
N  0.0000  0.5000  0.0000  2 Sc 2.09
N  0.5000  0.0000  0.0000  2 Sc 2.09
O  0.0000  0.0000  0.5000  2 Sc 1.95

Results
Density ... 6.93 g/cm³
ΔE_f (raw) ... 0.784 eV/atom
Space group ... P4/mmm

---

Compound: ScPtN2O
Source: Alexandria
Functional: PBE-GGA
Structure: relaxed

Cell lengths 3.8798, 3.8798, 4.0778 Å; angles 90.00, 90.00, 90.00 degrees
Closest atoms and distances in Å follow each position.
Positions (direct):
Sc  0.0000  0.0000  0.0000  4 O 2.74, 8 N 2.81
Pt  0.5000  0.5000  0.5000  4 N 1.94, 2 O 2.04
N  0.0000  0.5000  0.5000  2 Pt 1.94
N  0.5000  0.0000  0.5000  2 Pt 1.94
O  0.5000  0.5000  0.0000  2 Pt 2.04

Results
Density ... 7.68 g/cm³
ΔE_f (raw) ... 0.227 eV/atom
Space group ... P4/mmm

---

Compound: PtSe2NO
Source: Alexandria
Functional: PBE-GGA
Structure: relaxed

Cell lengths 4.5533, 4.5533, 3.5546 Å; angles 90.00, 90.00, 90.00 degrees
Closest atoms and distances in Å follow each position.
Positions (direct):
Pt  0.0000  0.0000  0.0000  8 Se 2.89, 4 N 3.22
Se  0.0000  0.5000  0.5000  2 O 2.28
Se  0.5000  0.0000  0.5000  2 O 2.28
N  0.5000  0.5000  0.0000  2 O 1.78
O  0.5000  0.5000  0.5000  2 N 1.78

Results
Density ... 8.63 g/cm³
ΔE_f (raw) ... 1.357 eV/atom
Space group ... P4/mmm
Energy relative to the lowest polymorph listed for this composition ... 135 meV/atom

---

Compound: PtSe2NO
Source: Alexandria
Functional: PBE-GGA
Structure: relaxed

Cell lengths 5.1630, 5.1630, 3.6217 Å; angles 90.00, 90.00, 90.00 degrees
Closest atoms and distances in Å follow each position.
Positions (direct):
Pt  0.0000  0.0000  0.0000  2 N 1.81
Se  0.0000  0.5000  0.0000  2 Pt 2.58
Se  0.5000  0.0000  0.0000  2 Pt 2.58
N  0.0000  0.0000  0.5000  2 Pt 1.81
O  0.5000  0.5000  0.5000  8 Se 3.15

Results
Density ... 6.59 g/cm³
ΔE_f (raw) ... 1.222 eV/atom
Space group ... P4/mmm
Energy relative to the lowest polymorph listed for this composition ... 0 meV/atom

---

Compound: PtSeN2O
Source: Alexandria
Functional: PBE-GGA
Structure: relaxed

Cell lengths 3.9816, 3.9816, 3.5758 Å; angles 90.00, 90.00, 90.00 degrees
Closest atoms and distances in Å follow each position.
Positions (direct):
Pt  0.0000  0.0000  0.0000  8 N 2.68, 4 O 2.82
Se  0.5000  0.5000  0.5000  2 O 1.79, 4 N 1.99
N  0.0000  0.5000  0.5000  2 Se 1.99
N  0.5000  0.0000  0.5000  2 Se 1.99
O  0.5000  0.5000  0.0000  2 Se 1.79

Results
Density ... 9.32 g/cm³
ΔE_f (raw) ... 1.668 eV/atom
Space group ... P4/mmm

---

Compound: PtSeN2O
Source: Alexandria
Functional: PBE-GGA
Structure: relaxed

Cell lengths 3.9172, 3.9172, 4.0479 Å; angles 90.00, 90.00, 90.00 degrees
Closest atoms and distances in Å follow each position.
Positions (direct):
Pt  0.0000  0.0000  0.0000  4 N 1.96, 2 O 2.02
Se  0.5000  0.5000  0.5000  4 O 2.77, 8 N 2.82
N  0.0000  0.5000  0.0000  2 Pt 1.96
N  0.5000  0.0000  0.0000  2 Pt 1.96
O  0.0000  0.0000  0.5000  2 Pt 2.02

Results
Density ... 8.50 g/cm³
ΔE_f (raw) ... 1.408 eV/atom
Space group ... P4/mmm

---

Compound: PtSeN2O
Source: Alexandria
Functional: PBE-GGA
Structure: relaxed

Cell lengths 3.6613, 3.6613, 6.1856 Å; angles 90.00, 90.00, 90.00 degrees
Closest atoms and distances in Å follow each position.
Positions (direct):
Pt  0.0000  0.0000  0.0000  4 N 1.83
Se  0.0000  0.0000  0.5000  4 O 2.59
N  0.0000  0.5000  0.0000  2 Pt 1.83
N  0.5000  0.0000  0.0000  2 Pt 1.83
O  0.5000  0.5000  0.5000  4 Se 2.59

Results
Density ... 6.37 g/cm³
ΔE_f (raw) ... 1.458 eV/atom
Space group ... P4/mmm

---

Compound: PtSeN2O
Source: Alexandria
Functional: PBE-GGA
Structure: relaxed

Cell lengths 3.8254, 3.8254, 3.9845 Å; angles 90.00, 90.00, 90.00 degrees
Closest atoms and distances in Å follow each position.
Positions (direct):
Pt  0.0000  0.0000  0.0000  4 Se 2.70, 8 N 2.76
Se  0.5000  0.5000  0.0000  2 O 1.99
N  0.0000  0.5000  0.5000  2 O 1.91
N  0.5000  0.0000  0.5000  2 O 1.91
O  0.5000  0.5000  0.5000  4 N 1.91, 2 Se 1.99

Results
Density ... 9.06 g/cm³
ΔE_f (raw) ... 2.095 eV/atom
Space group ... P4/mmm

---

Compound: SiPtNO2
Source: Alexandria
Functional: PBE-GGA
Structure: relaxed

Cell lengths 3.4280, 3.4280, 4.0583 Å; angles 90.00, 90.00, 90.00 degrees
Closest atoms and distances in Å follow each position.
Positions (direct):
Si  0.0000  0.0000  0.0000  4 O 1.71
Pt  0.5000  0.5000  0.5000  4 N 2.42, 8 O 2.66
N  0.0000  0.0000  0.5000  2 Si 2.03
O  0.0000  0.5000  0.0000  2 Si 1.71
O  0.5000  0.0000  0.0000  2 Si 1.71

Results
Density ... 9.37 g/cm³
ΔE_f (raw) ... -0.274 eV/atom
Space group ... P4/mmm

---

Compound: SiPtNO2
Source: Alexandria
Functional: PBE-GGA
Structure: relaxed

Cell lengths 4.1443, 4.1443, 3.7123 Å; angles 90.00, 90.00, 90.00 degrees
Closest atoms and distances in Å follow each position.
Positions (direct):
Si  0.0000  0.0000  0.0000  8 O 2.78, 4 N 2.93
Pt  0.5000  0.5000  0.5000  2 N 1.86, 4 O 2.07
N  0.5000  0.5000  0.0000  2 Pt 1.86
O  0.0000  0.5000  0.5000  2 Pt 2.07
O  0.5000  0.0000  0.5000  2 Pt 2.07

Results
Density ... 7.01 g/cm³
ΔE_f (raw) ... 0.626 eV/atom
Space group ... P4/mmm